No. 1
# YCuS2 GGA-PBEsol optimized geometry
data_YCuS2
_chemical_formula_sum 'Y4 Cu4 S8'
_cell_length_a 13.278
_cell_length_b 3.890
_cell_length_c 6.167
_cell_angle_alpha 90.00
_cell_angle_beta 90.00
_cell_angle_gamma 90.00
_space_group_name_H-M_alt 'P n m a'
_space_group_IT_number 62
_space_group_name_Hall '-P 2ac 2n'
loop_
_atom_site_label
_atom_site_type_symbol
_atom_site_fract_x
_atom_site_fract_y
_atom_site_fract_z
Y1 Y 0.133 0.250 0.002
Cu1 Cu 0.042 0.750 0.370
S1 S 0.041 0.750 0.750
S2 S 0.203 0.750 0.247
# DOS at the Fermi energy: 0.00 states/eV/f.u.
# E_tot: -0.47059 Ry/atom

No. 2
# CdTcPb2 GGA-PBEsol optimized geometry
data_CdTcPb2
_chemical_formula_sum 'Cd1 Tc1 Pb2'
_cell_length_a 3.256
_cell_length_b 3.256
_cell_length_c 8.572
_cell_angle_alpha 90.00
_cell_angle_beta 90.00
_cell_angle_gamma 90.00
_space_group_name_H-M_alt 'P 4/m m m'
_space_group_IT_number 123
_space_group_name_Hall '-P 4 2'
loop_
_atom_site_label
_atom_site_type_symbol
_atom_site_fract_x
_atom_site_fract_y
_atom_site_fract_z
Cd1 Cd 0.000 0.000 0.000
Tc1 Tc 0.000 0.000 0.500
Pb1 Pb 0.500 0.500 0.297
# formation enthalpy at 0 K: 0.487 eV per atom
# DOS at the Fermi energy: 3.62 states/eV/f.u.

No. 3
# CsHgCl3 GGA-PBEsol optimized geometry
data_CsHgCl3
_chemical_formula_sum 'Cs8 Hg8 Cl24'
_cell_length_a 9.196
_cell_length_b 15.073
_cell_length_c 10.605
_cell_angle_alpha 90.00
_cell_angle_beta 125.06
_cell_angle_gamma 90.00
_space_group_name_H-M_alt 'P 1 21/c 1'
_space_group_IT_number 14
_space_group_name_Hall '-P 2ybc'
loop_
_atom_site_label
_atom_site_type_symbol
_atom_site_fract_x
_atom_site_fract_y
_atom_site_fract_z
Cs1 Cs 0.000 0.000 0.000
Cs2 Cs 0.000 0.000 0.500
Cs3 Cs 0.483 0.250 0.243
Hg1 Hg 0.003 0.748 0.250
Hg2 Hg 0.500 0.000 0.000
Hg3 Hg 0.500 0.000 0.500
Cl1 Cl 0.018 0.747 0.508
Cl2 Cl 0.213 0.123 0.854
Cl3 Cl 0.242 0.124 0.374
Cl4 Cl 0.266 0.643 0.379
Cl5 Cl 0.276 0.615 0.891
Cl6 Cl 0.495 0.501 0.724
# relative energy among the computed polymorphs: 6 meV per atom

No. 4
# Mn3NiBi GGA-PBEsol optimized geometry
data_Mn3NiBi
_chemical_formula_sum 'Mn3 Ni1 Bi1'
_cell_length_a 4.488
_cell_length_b 4.488
_cell_length_c 4.488
_cell_angle_alpha 90.00
_cell_angle_beta 90.00
_cell_angle_gamma 90.00
_space_group_name_H-M_alt 'P m -3 m'
_space_group_IT_number 221
_space_group_name_Hall '-P 4 2 3'
loop_
_atom_site_label
_atom_site_type_symbol
_atom_site_fract_x
_atom_site_fract_y
_atom_site_fract_z
Mn1 Mn 0.000 0.000 0.500
Ni1 Ni 0.000 0.000 0.000
Bi1 Bi 0.500 0.500 0.500
# formation enthalpy at 0 K: 0.724 eV per atom
# DOS at the Fermi energy: 4.56 states/eV/f.u.